The following is a PBE-GGA calculation of a geometry-optimized LaGdSn2Pd4 structure, from OQMD.

```
LaGdSn2Pd4
1.0
4.641 0.000 0.000
-2.321 4.019 0.000
0.000 0.000 9.223
La Gd Sn Pd
1 1 2 4
Direct
0.000 0.000 0.000 La
0.667 0.333 0.500 Gd
0.333 0.667 0.261 Sn
0.333 0.667 0.739 Sn
0.000 0.000 0.338 Pd
0.000 0.000 0.662 Pd
0.667 0.333 0.175 Pd
0.667 0.333 0.825 Pd
```

Properties
The symmetry is P-6m2 (187). For the magnetization, the calculation gives 0.0 μB per formula unit. The calculation puts the final energy at -5.65 eV per atom.